No. 1
The following is a PBE calculation of Tm5GaAu4 after structural relaxation, from the Alexandria database.

Cell and atoms, written as extended XYZ:
```
10
Lattice="-0.917 3.150 1.317 -2.964 -0.056 -1.927 -8.570 -8.104 13.417" Properties=species:S:1:pos:R:3 pbc="T T T"
Tm -2.798 0.736 1.038
Ga 0.000 0.000 0.000
Au -5.138 -4.859 8.044
Au -1.695 -1.603 2.654
Tm -7.945 -4.131 9.096
Au -6.875 -6.501 10.763
Au -3.432 -3.246 5.373
Tm -9.652 -5.746 11.769
Tm -6.225 -2.505 6.404
Tm -4.505 -0.879 3.711
```

Output
* E: -46.77 eV/cell
* calculated density: 12.659 g cm⁻³
* energy of formation: -828 meV per atom
* M_tot: 0.00 Bohr magnetons per cell



No. 2
The following is a PBE calculation of Rb3Tb3HoTe8 after structural relaxation, from the Alexandria database.

Cell and atoms, written as extended XYZ:
```
15
Lattice="-2.984 6.694 -4.939 -4.411 -7.661 0.192 -0.842 5.800 8.370" Properties=species:S:1:pos:R:3 pbc="T T T"
Te -1.198 3.273 1.208
Rb 0.000 0.000 0.000
Te -4.898 2.789 -1.167
Te -3.340 2.044 4.790
Te -3.396 -0.563 1.291
Te -7.040 1.561 2.416
Tb -1.913 6.247 1.716
Te -5.547 -1.788 4.886
Tb -2.627 -0.930 4.281
Te -2.691 6.621 -1.263
Te -4.841 5.396 2.333
Rb -3.698 -0.483 -2.373
Ho -0.421 2.900 4.185
Rb -2.206 -3.830 0.096
Tb -4.119 2.417 1.812
```

Output
* E: -66.28 eV/cell
* calculated density: 5.320 g cm⁻³
* M_tot: 0.00 Bohr magnetons per cell



No. 3
The following is a PBE calculation of YCo2Re after structural relaxation, from the Alexandria database.

Cell and atoms, written as extended XYZ:
```
8
Lattice="-2.327 -1.554 3.539 3.770 -0.001 2.478 -0.749 6.529 5.249" Properties=species:S:1:pos:R:3 pbc="T T T"
Y 1.871 2.875 5.368
Co -0.030 0.163 6.205
Y 0.722 -0.777 3.008
Re -1.177 2.099 5.898
Co -0.699 4.314 5.747
Re 0.000 0.000 0.000
Co -2.391 3.537 7.169
Co -1.589 0.382 4.470
```

Output
* E: -61.62 eV/cell
* calculated density: 8.241 g cm⁻³
* energy of formation: 579 meV per atom
* M_tot: 0.00 Bohr magnetons per cell



No. 4
The following is a PBE calculation of NdPuSb after structural relaxation, from the Alexandria database.

Cell and atoms, written as extended XYZ:
```
3
Lattice="3.841 0.000 0.000 0.000 5.162 0.000 0.000 -2.581 4.470" Properties=species:S:1:pos:R:3 pbc="T T T"
Nd 2.680 2.581 1.490
Pu 1.079 0.000 2.980
Sb 0.082 0.000 0.000
```

Output
* E: -24.10 eV/cell
* calculated density: 9.555 g cm⁻³
* M_tot: 6.41 Bohr magnetons per cell



No. 5
The following is a PBE calculation of Co3TcPd after structural relaxation, from the Alexandria database.

Cell and atoms, written as extended XYZ:
```
5
Lattice="-3.136 2.652 1.454 -1.070 -2.932 3.039 2.829 1.830 2.762" Properties=species:S:1:pos:R:3 pbc="T T T"
Pd -0.689 0.775 3.628
Co -1.568 1.326 0.727
Tc 0.000 0.000 0.000
Co -0.535 -1.466 1.519
Co 1.414 0.915 1.381
```

Output
* E: -29.86 eV/cell
* calculated density: 7.657 g cm⁻³
* energy of formation: 1402 meV per atom
* M_tot: 2.25 Bohr magnetons per cell



No. 6
The following is a PBE calculation of SrPmSn3 after structural relaxation, from the Alexandria database.

Cell and atoms, written as extended XYZ:
```
10
Lattice="4.813 0.009 1.191 2.367 8.308 0.675 2.916 0.185 8.818" Properties=species:S:1:pos:R:3 pbc="T T T"
Sn 4.589 5.036 7.164
Sn 4.951 7.656 5.696
Sn 5.874 6.312 2.026
Sn 4.221 2.189 8.658
Pm 6.820 7.375 8.461
Sn 5.506 3.465 3.520
Pm 3.275 1.126 2.223
Sr 2.940 5.738 3.552
Sn 5.144 0.846 4.988
Sr 7.156 2.763 7.132
```

Output
* E: -42.01 eV/cell
* calculated density: 6.044 g cm⁻³
* energy of formation: -513 meV per atom
* M_tot: 0.00 Bohr magnetons per cell



Look up the M_tot of the first one.
0.00 Bohr magnetons per cell